Record 1
Material: Li4Ti4V4NiO18
Method: DFT, GGA-PBEsol
State: optimized geometry

* crystal system: orthorhombic

```
Li4Ti4V4NiO18
1.0
2.8496 0.0000 0.0000
0.0000 8.9217 0.0000
0.0000 0.0000 24.8516
Li Ti V Ni O
8 8 8 2 36
Direct
0.0000 0.7058 0.0004 Li
0.0000 0.6042 0.1926 Li
0.0000 0.8958 0.6926 Li
0.0000 0.7942 0.5004 Li
0.0000 0.2058 0.4996 Li
0.0000 0.1042 0.3074 Li
0.0000 0.3958 0.8074 Li
0.0000 0.2942 0.9996 Li
0.0000 0.4493 0.0950 Ti
0.5000 0.7296 0.8166 Ti
0.5000 0.7704 0.3166 Ti
0.0000 0.0507 0.5950 Ti
0.0000 0.9493 0.4050 Ti
0.5000 0.2296 0.6834 Ti
0.5000 0.2704 0.1834 Ti
0.0000 0.5507 0.9050 Ti
0.0000 0.4161 0.3045 V
0.5000 0.6837 0.5952 V
0.5000 0.8163 0.0952 V
0.0000 0.0839 0.8045 V
0.0000 0.9161 0.1955 V
0.5000 0.1837 0.9048 V
0.5000 0.3163 0.4048 V
0.0000 0.5839 0.6955 V
0.0000 0.5000 0.5000 Ni
0.0000 0.0000 0.0000 Ni
0.0000 0.4415 0.3819 O
0.0000 0.5585 0.6181 O
0.5000 0.6040 0.9520 O
0.5000 0.4828 0.1503 O
0.5000 0.7275 0.6773 O
0.0000 0.6591 0.7683 O
0.5000 0.6242 0.5237 O
0.5000 0.5642 0.2926 O
0.0000 0.7510 0.8675 O
0.0000 0.6646 0.0815 O
0.0000 0.8354 0.5815 O
0.0000 0.7490 0.3675 O
0.5000 0.9358 0.7926 O
0.5000 0.8758 0.0237 O
0.0000 0.8409 0.2683 O
0.5000 0.7725 0.1773 O
0.5000 0.0172 0.6503 O
0.5000 0.8960 0.4520 O
0.0000 0.9415 0.1181 O
0.0000 0.0585 0.8819 O
0.5000 0.1040 0.5480 O
0.5000 0.9828 0.3497 O
0.5000 0.2275 0.8227 O
0.0000 0.1591 0.7317 O
0.5000 0.1242 0.9763 O
0.5000 0.0642 0.2074 O
0.0000 0.2510 0.6325 O
0.0000 0.1646 0.4185 O
0.0000 0.3354 0.9185 O
0.0000 0.2490 0.1325 O
0.5000 0.4358 0.7074 O
0.5000 0.3758 0.4763 O
0.0000 0.3409 0.2317 O
0.5000 0.2725 0.3227 O
0.5000 0.5172 0.8497 O
0.5000 0.3960 0.0480 O
```

Record 2
Material: Li4Ti3Ni3W2O16
Method: DFT, GGA-PBEsol
State: optimized geometry

* crystal system: monoclinic

```
Li4Ti3Ni3W2O16
1.0
5.8501 0.0129 -0.0149
2.9140 5.0308 -0.0287
0.0239 0.1585 9.6996
Li Ti Ni W O
4 3 3 2 16
Direct
0.3361 0.3278 0.0965 Li
0.0061 0.9879 0.0181 Li
0.0017 0.9967 0.5070 Li
0.6648 0.6703 0.5889 Li
0.6527 0.1918 0.7808 Ti
0.1554 0.1920 0.7808 Ti
0.8225 0.3548 0.2702 Ti
0.1739 0.6523 0.7922 Ni
0.8295 0.8276 0.2918 Ni
0.3429 0.8276 0.2918 Ni
0.3327 0.3346 0.5052 W
0.6536 0.6929 0.0138 W
0.6565 0.1750 0.4124 O
0.4801 0.0398 0.6627 O
0.3432 0.3136 0.8967 O
0.9982 0.0035 0.6982 O
0.9986 0.0028 0.2055 O
0.1686 0.1750 0.4123 O
0.4912 0.4724 0.6517 O
0.0364 0.4725 0.6517 O
0.8272 0.3457 0.8964 O
0.1721 0.6558 0.4165 O
0.9674 0.4997 0.1432 O
0.5327 0.4998 0.1432 O
0.6760 0.6480 0.3930 O
0.8213 0.8419 0.9108 O
0.5219 0.9562 0.1499 O
0.3369 0.8419 0.9108 O
```

Record 3
Material: Li2V3NiO8
Method: DFT, GGA-PBEsol
State: optimized geometry

* offset from the most stable computed form: 0.000 eV per atom
* crystal system: hexagonal

```
Li2V3NiO8
1.0
-0.3347 5.1839 -2.2158
-4.0183 -1.8308 3.5208
4.9200 3.4946 7.4325
Li V Ni O
4 6 2 16
Direct
0.6667 0.3333 0.1072 Li
0.0000 0.0000 0.0053 Li
0.0000 0.0000 0.5053 Li
0.3333 0.6667 0.6072 Li
0.8251 0.6484 0.7872 V
0.8233 0.1749 0.7872 V
0.1749 0.8233 0.2872 V
0.3516 0.1767 0.7872 V
0.6484 0.8251 0.2872 V
0.1767 0.3516 0.2872 V
0.6667 0.3333 0.5093 Ni
0.3333 0.6667 0.0093 Ni
0.8361 0.6724 0.3909 O
0.9647 0.4824 0.6631 O
0.6667 0.3333 0.9097 O
0.0000 0.0000 0.6912 O
0.0000 0.0000 0.1912 O
0.8364 0.1639 0.3909 O
0.5176 0.4823 0.6631 O
0.5177 0.0353 0.6631 O
0.6724 0.8361 0.8909 O
0.3276 0.1636 0.3909 O
0.4824 0.9647 0.1631 O
0.4823 0.5176 0.1631 O
0.3333 0.6667 0.4097 O
0.1639 0.8364 0.8909 O
0.0353 0.5177 0.1631 O
0.1636 0.3276 0.8909 O
```

Record 4
Material: Li2VNiO4
Method: DFT, GGA-PBEsol
State: optimized geometry

* offset from the most stable computed form: 0.000 eV per atom
* crystal system: orthorhombic

```
Li2VNiO4
1.0
5.7626 0.0225 0.1065
-2.7927 5.0407 -0.1065
2.9356 1.6807 4.6666
Li V Ni O
4 2 2 8
Direct
0.5000 0.0000 0.5000 Li
0.0000 0.5000 0.5000 Li
0.0000 0.0000 0.5000 Li
0.5000 0.0000 0.0000 Li
0.5000 0.5000 0.5000 V
0.0000 0.5000 0.0000 V
0.0000 0.0000 0.0000 Ni
0.5000 0.5000 0.0000 Ni
0.4940 0.2697 0.7363 O
0.0060 0.2697 0.2243 O
0.9940 0.7303 0.7757 O
0.5060 0.7303 0.2637 O
0.4868 0.7398 0.7470 O
0.0132 0.2661 0.7470 O
0.9868 0.7339 0.2530 O
0.5132 0.2602 0.2530 O
```

Record 5
Material: Li2VNiO4
Method: DFT, GGA-PBEsol
State: optimized geometry

* offset from the most stable computed form: 0.003 eV per atom
* crystal system: triclinic

```
Li2VNiO4
1.0
5.0590 -0.0029 0.0590
0.0130 5.7433 0.0065
2.5785 1.4165 7.0116
Li V Ni O
6 3 3 12
Direct
0.8338 0.0765 0.6677 Li
0.5043 0.2409 0.0035 Li
0.8351 0.5885 0.6669 Li
0.1662 0.9235 0.3323 Li
0.1649 0.4115 0.3331 Li
0.4957 0.7591 0.9965 Li
0.3382 0.3353 0.6640 V
0.6618 0.6647 0.3360 V
0.0000 0.5000 0.0000 V
0.3336 0.8336 0.6663 Ni
0.6664 0.1664 0.3337 Ni
0.0000 0.0000 0.0000 Ni
0.2632 0.6194 0.4991 O
0.2608 0.1361 0.5094 O
0.5994 0.4657 0.1679 O
0.5944 0.9436 0.1754 O
0.9338 0.3023 0.8325 O
0.9284 0.7771 0.8436 O
0.7392 0.8639 0.4906 O
0.7368 0.3806 0.5009 O
0.0716 0.2229 0.1564 O
0.0662 0.6977 0.1675 O
0.4056 0.0564 0.8246 O
0.4006 0.5343 0.8321 O
```

Record 6
Material: Li2V5NiO12
Method: DFT, GGA-PBEsol
State: optimized geometry

* crystal system: monoclinic

```
Li2V5NiO12
1.0
-4.5118 -3.1559 -0.3475
-0.1054 -4.0739 5.3631
-4.7263 2.6850 3.9780
Li V Ni O
2 5 1 12
Direct
0.0000 0.7221 0.2779 Li
0.5000 0.2846 0.7154 Li
0.5000 0.9241 0.0759 V
0.5527 0.3821 0.1644 V
0.0188 0.1844 0.3775 V
0.4473 0.8356 0.6179 V
0.9812 0.6225 0.8156 V
0.0000 0.0946 0.9054 Ni
0.5981 0.1961 0.9896 O
0.4646 0.6532 0.0948 O
0.1093 0.0084 0.1990 O
0.6792 0.3013 0.4078 O
0.5354 0.9052 0.3468 O
0.2003 0.3720 0.3050 O
0.3208 0.5922 0.6987 O
0.0655 0.0295 0.6145 O
0.7997 0.6950 0.6280 O
0.4019 0.0104 0.8039 O
0.9345 0.3855 0.9705 O
0.8907 0.8010 0.9916 O
```

Record 7
Material: Li3V2NiO6
Method: DFT, GGA-PBEsol
State: optimized geometry

* crystal system: monoclinic

```
Li3V2NiO6
1.0
2.8362 0.0000 0.0000
0.0000 5.8518 -0.0742
-1.4181 -1.6029 6.1253
Li V Ni O
3 2 1 6
Direct
0.0000 0.0000 0.0000 Li
0.6605 0.3437 0.3210 Li
0.3395 0.6563 0.6790 Li
0.6680 0.8400 0.3359 V
0.3320 0.1600 0.6641 V
0.0000 0.5000 0.0000 Ni
0.1690 0.6060 0.3379 O
0.8318 0.9202 0.6636 O
0.8310 0.3940 0.6621 O
0.4893 0.2501 0.9786 O
0.5107 0.7499 0.0214 O
0.1682 0.0798 0.3364 O
```

Record 8
Material: Li7V6Ni5O24
Method: DFT, GGA-PBEsol
State: optimized geometry

* crystal system: triclinic

```
Li7V6Ni5O24
1.0
-2.3208 -5.1058 1.0945
3.1177 -0.4353 4.8280
-8.5303 2.6389 9.0774
Li V Ni O
7 6 5 24
Direct
0.3328 0.3286 0.8323 Li
0.8323 0.3291 0.8309 Li
0.1594 0.1638 0.6690 Li
0.0000 0.0000 0.5000 Li
0.8406 0.8362 0.3310 Li
0.1677 0.6709 0.1691 Li
0.6672 0.6714 0.1677 Li
0.6228 0.8689 0.7530 V
0.7043 0.4646 0.5816 V
0.2957 0.5354 0.4184 V
0.3772 0.1311 0.2470 V
0.9585 0.2099 0.0831 V
0.0415 0.7901 0.9169 V
0.1620 0.6644 0.6683 Ni
0.5000 0.0000 0.5000 Ni
0.8380 0.3356 0.3317 Ni
0.5000 0.0000 0.0000 Ni
0.5000 0.5000 0.0000 Ni
0.5795 0.5904 0.8382 O
0.5805 0.0712 0.8373 O
0.9112 0.9038 0.6720 O
0.4165 0.9104 0.6658 O
0.4194 0.4278 0.6647 O
0.9147 0.4265 0.6618 O
0.7356 0.7505 0.5028 O
0.7446 0.2520 0.4971 O
0.2644 0.2495 0.4972 O
0.2554 0.7480 0.5029 O
0.5806 0.5722 0.3353 O
0.0853 0.5735 0.3382 O
0.0888 0.0962 0.3280 O
0.5835 0.0896 0.3342 O
0.4195 0.9288 0.1627 O
0.4205 0.4096 0.1618 O
0.9201 0.9331 0.1596 O
0.9156 0.4068 0.1684 O
0.2578 0.2506 0.0011 O
0.7411 0.2507 0.0007 O
0.7422 0.7494 0.9989 O
0.2589 0.7493 0.9993 O
0.0844 0.5932 0.8316 O
0.0799 0.0669 0.8404 O
```

E_form (uncorrected) list, top to bottom, in meV/atom: -2453 -2097 -2080 -1863 -1860 -2149 -2005 -1947